Record 1
# Ac3Mg3Ag2 PBE-GGA relaxed
# D(E_F) (states/eV/f.u.): 7.44
# Final energy (eV/atom): -3.0093
# Formation energy (meV per atom): -158
# M_tot (μB/atom): 0.00
data_Ac3Mg3Ag2
_space_group_name_H-M_alt 'P n m a'
_space_group_IT_number 62
_space_group_name_Hall '-P 2ac 2n'
_cell_length_a 8.9648
_cell_length_b 17.4417
_cell_length_c 6.2317
_cell_angle_alpha 90.00
_cell_angle_beta 90.00
_cell_angle_gamma 90.00
loop_
_atom_site_label
_atom_site_type_symbol
_atom_site_fract_x
_atom_site_fract_y
_atom_site_fract_z
Ac1 Ac 0.0302 0.1102 0.1051
Ac2 Ac 0.1646 0.2500 0.6110
Mg1 Mg 0.1742 0.0336 0.5957
Mg2 Mg 0.1835 0.7500 0.6102
Ag1 Ag 0.1180 0.6093 0.3811

=====

Record 2
# Ac2Mg3Ag6 PBE-GGA relaxed
# D(E_F) (states/eV/f.u.): 6.78
# Final energy (eV/atom): -2.8807
# Formation energy (meV per atom): -144
# M_tot (μB/atom): 0.00
data_Ac2Mg3Ag6
_space_group_name_H-M_alt 'C m m m'
_space_group_IT_number 65
_space_group_name_Hall '-C 2 2'
_cell_length_a 11.2175
_cell_length_b 11.8911
_cell_length_c 4.1813
_cell_angle_alpha 90.00
_cell_angle_beta 90.00
_cell_angle_gamma 90.00
loop_
_atom_site_label
_atom_site_type_symbol
_atom_site_fract_x
_atom_site_fract_y
_atom_site_fract_z
Ac1 Ac 0.0000 0.2044 0.0000
Mg1 Mg 0.0000 0.5000 0.5000
Mg2 Mg 0.2083 0.5000 0.0000
Ag1 Ag 0.1214 0.0000 0.5000
Ag2 Ag 0.1841 0.3442 0.5000

=====

Record 3
# Ac2Mg5Ag5 PBE-GGA relaxed
# D(E_F) (states/eV/f.u.): 5.66
# Final energy (eV/atom): -2.7983
# Formation energy (meV per atom): -261
# M_tot (μB/atom): 0.00
data_Ac2Mg5Ag5
_space_group_name_H-M_alt 'P m m m'
_space_group_IT_number 47
_space_group_name_Hall '-P 2 2'
_cell_length_a 4.6255
_cell_length_b 6.0043
_cell_length_c 10.3441
_cell_angle_alpha 90.00
_cell_angle_beta 90.00
_cell_angle_gamma 90.00
loop_
_atom_site_label
_atom_site_type_symbol
_atom_site_fract_x
_atom_site_fract_y
_atom_site_fract_z
Ac1 Ac 0.0000 0.0000 0.0000
Ac2 Ac 0.0000 0.5000 0.5000
Mg1 Mg 0.5000 0.0000 0.5000
Mg2 Mg 0.5000 0.2513 0.2413
Ag1 Ag 0.0000 0.0000 0.3319
Ag2 Ag 0.0000 0.5000 0.1685
Ag3 Ag 0.5000 0.5000 0.0000

=====

Record 4
# Ac2MgAg6 PBE-GGA relaxed
# D(E_F) (states/eV/f.u.): 5.32
# Final energy (eV/atom): -3.1973
# Formation energy (meV per atom): -206
# M_tot (μB/atom): 0.00
data_Ac2MgAg6
_space_group_name_H-M_alt 'P -3 m 1'
_space_group_IT_number 164
_space_group_name_Hall '-P 3 2"'
_cell_length_a 6.4792
_cell_length_b 6.4792
_cell_length_c 6.0514
_cell_angle_alpha 90.00
_cell_angle_beta 90.00
_cell_angle_gamma 120.00
loop_
_atom_site_label
_atom_site_type_symbol
_atom_site_fract_x
_atom_site_fract_y
_atom_site_fract_z
Ac1 Ac 0.3333 0.6667 0.1613
Mg1 Mg 0.0000 0.0000 0.0000
Ag1 Ag 0.1807 0.3615 0.6705

=====

Record 5
# Ac2Mg16Ag PBE-GGA relaxed
# D(E_F) (states/eV/f.u.): 9.14
# Final energy (eV/atom): -2.0169
# Formation energy (meV per atom): -92
# M_tot (μB/atom): 0.00
data_Ac2Mg16Ag
_space_group_name_H-M_alt 'R 3 m'
_space_group_IT_number 160
_space_group_name_Hall 'R 3 -2"'
_cell_length_a 10.3928
_cell_length_b 10.3928
_cell_length_c 15.2808
_cell_angle_alpha 90.00
_cell_angle_beta 90.00
_cell_angle_gamma 120.00
loop_
_atom_site_label
_atom_site_type_symbol
_atom_site_fract_x
_atom_site_fract_y
_atom_site_fract_z
Ac1 Ac 0.0000 0.0000 0.9999
Ac2 Ac 0.0000 0.0000 0.3333
Mg1 Mg 0.0000 0.0000 0.7547
Mg2 Mg 0.9999 0.2949 0.6660
Mg3 Mg 0.0027 0.5013 0.8200
Mg4 Mg 0.0075 0.5038 0.1662
Mg5 Mg 0.1684 0.3367 0.8467
Ag1 Ag 0.0000 0.0000 0.5638

=====

Record 6
# Ac2MgAg2 PBE-GGA relaxed
# D(E_F) (states/eV/f.u.): 4.60
# Final energy (eV/atom): -3.2408
# Formation energy (meV per atom): -138
# ΔE to the lowest computed polymorph (eV/f.u.): 0.559
# M_tot (μB/atom): 0.00
data_Ac2MgAg2
_space_group_name_H-M_alt 'I b a m'
_space_group_IT_number 72
_space_group_name_Hall '-I 2 2c'
_cell_length_a 7.9646
_cell_length_b 12.6166
_cell_length_c 6.4003
_cell_angle_alpha 90.00
_cell_angle_beta 90.00
_cell_angle_gamma 90.00
loop_
_atom_site_label
_atom_site_type_symbol
_atom_site_fract_x
_atom_site_fract_y
_atom_site_fract_z
Ac1 Ac 0.1650 0.1583 0.0000
Mg1 Mg 0.0000 0.5000 0.2500
Ag1 Ag 0.2428 0.0962 0.5000

=====

Record 7
# Ac4MgAg3 PBE-GGA relaxed
# D(E_F) (states/eV/f.u.): 7.10
# Final energy (eV/atom): -3.5138
# Formation energy (meV per atom): -191
# ΔE to the lowest computed polymorph (eV/f.u.): 0.126
# M_tot (μB/atom): 0.00
data_Ac4MgAg3
_space_group_name_H-M_alt 'P m m 2'
_space_group_IT_number 25
_space_group_name_Hall 'P 2 -2'
_cell_length_a 4.2617
_cell_length_b 4.9845
_cell_length_c 12.3483
_cell_angle_alpha 90.00
_cell_angle_beta 90.00
_cell_angle_gamma 90.00
loop_
_atom_site_label
_atom_site_type_symbol
_atom_site_fract_x
_atom_site_fract_y
_atom_site_fract_z
Ac1 Ac 0.0000 0.0000 0.0000
Ac2 Ac 0.0000 0.5000 0.2816
Ac3 Ac 0.5000 0.0000 0.4798
Ac4 Ac 0.5000 0.5000 0.7961
Mg1 Mg 0.0000 0.0000 0.7037
Ag1 Ag 0.0000 0.5000 0.5675
Ag2 Ag 0.5000 0.0000 0.2100
Ag3 Ag 0.5000 0.5000 0.0702

=====

Record 8
# Ac2Mg2Ag3 PBE-GGA relaxed
# D(E_F) (states/eV/f.u.): 3.49
# Final energy (eV/atom): -3.0417
# Formation energy (meV per atom): -190
# ΔE to the lowest computed polymorph (eV/f.u.): 0.037
# M_tot (μB/atom): 0.00
data_Ac2Mg2Ag3
_space_group_name_H-M_alt 'C 1 2/m 1'
_space_group_IT_number 12
_space_group_name_Hall '-C 2y'
_cell_length_a 9.4864
_cell_length_b 5.4233
_cell_length_c 8.6549
_cell_angle_alpha 90.00
_cell_angle_beta 121.75
_cell_angle_gamma 90.00
loop_
_atom_site_label
_atom_site_type_symbol
_atom_site_fract_x
_atom_site_fract_y
_atom_site_fract_z
Ac1 Ac 0.2493 0.0000 0.1682
Mg1 Mg 0.1854 0.5000 0.3830
Ag1 Ag 0.0000 0.5000 0.0000
Ag2 Ag 0.0114 0.0000 0.6789

=====

Record 9
# AcMgAg3 PBE-GGA relaxed
# D(E_F) (states/eV/f.u.): 1.63
# Final energy (eV/atom): -3.0384
# Formation energy (meV per atom): -187
# ΔE to the lowest computed polymorph (eV/f.u.): 0.282
# M_tot (μB/atom): 0.00
data_AcMgAg3
_space_group_name_H-M_alt 'I 4 m m'
_space_group_IT_number 107
_space_group_name_Hall 'I 4 -2'
_cell_length_a 4.7825
_cell_length_b 4.7825
_cell_length_c 10.8015
_cell_angle_alpha 90.00
_cell_angle_beta 90.00
_cell_angle_gamma 90.00
loop_
_atom_site_label
_atom_site_type_symbol
_atom_site_fract_x
_atom_site_fract_y
_atom_site_fract_z
Ac1 Ac 0.0000 0.0000 0.0000
Mg1 Mg 0.0000 0.0000 0.6332
Ag1 Ag 0.0000 0.0000 0.3899
Ag2 Ag 0.0000 0.5000 0.2530

=====

Record 10
# Ac3Mg2Ag9 PBE-GGA relaxed
# D(E_F) (states/eV/f.u.): 6.44
# Final energy (eV/atom): -3.1990
# Formation energy (meV per atom): -258
# M_tot (μB/atom): 0.00
data_Ac3Mg2Ag9
_space_group_name_H-M_alt 'I m m m'
_space_group_IT_number 71
_space_group_name_Hall '-I 2 2'
_cell_length_a 4.7577
_cell_length_b 9.9360
_cell_length_c 14.3285
_cell_angle_alpha 90.00
_cell_angle_beta 90.00
_cell_angle_gamma 90.00
loop_
_atom_site_label
_atom_site_type_symbol
_atom_site_fract_x
_atom_site_fract_y
_atom_site_fract_z
Ac1 Ac 0.0000 0.0000 0.0000
Ac2 Ac 0.0000 0.0000 0.2887
Mg1 Mg 0.0000 0.1838 0.5000
Ag1 Ag 0.0000 0.2876 0.1306
Ag2 Ag 0.0000 0.3574 0.3419
Ag3 Ag 0.0000 0.5000 0.0000

=====

Record 11
# Ac3Mg7Ag4 PBE-GGA relaxed
# D(E_F) (states/eV/f.u.): 8.77
# Final energy (eV/atom): -2.7040
# Formation energy (meV per atom): -212
# M_tot (μB/atom): 0.00
data_Ac3Mg7Ag4
_space_group_name_H-M_alt 'C 1 2/m 1'
_space_group_IT_number 12
_space_group_name_Hall '-C 2y'
_cell_length_a 17.6154
_cell_length_b 4.6331
_cell_length_c 10.7569
_cell_angle_alpha 90.00
_cell_angle_beta 123.50
_cell_angle_gamma 90.00
loop_
_atom_site_label
_atom_site_type_symbol
_atom_site_fract_x
_atom_site_fract_y
_atom_site_fract_z
Ac1 Ac 0.0000 0.0000 0.0000
Ac2 Ac 0.1940 0.5000 0.7001
Mg1 Mg 0.0000 0.0000 0.5000
Mg2 Mg 0.0082 0.5000 0.3002
Mg3 Mg 0.1585 0.0000 0.4266
Mg4 Mg 0.1772 0.5000 0.0153
Ag1 Ag 0.1171 0.0000 0.8322
Ag2 Ag 0.1584 0.5000 0.2702

=====

Record 12
# Ac2Mg15Ag2 PBE-GGA relaxed
# D(E_F) (states/eV/f.u.): 9.31
# Final energy (eV/atom): -2.0805
# Formation energy (meV per atom): -89
# M_tot (μB/atom): 0.00
data_Ac2Mg15Ag2
_space_group_name_H-M_alt 'R -3 m'
_space_group_IT_number 166
_space_group_name_Hall '-R 3 2"'
_cell_length_a 10.3181
_cell_length_b 10.3181
_cell_length_c 15.2440
_cell_angle_alpha 90.00
_cell_angle_beta 90.00
_cell_angle_gamma 120.00
loop_
_atom_site_label
_atom_site_type_symbol
_atom_site_fract_x
_atom_site_fract_y
_atom_site_fract_z
Ac1 Ac 0.0000 0.0000 0.1676
Mg1 Mg 0.0000 0.2918 0.5000
Mg2 Mg 0.0000 0.5000 0.0000
Mg3 Mg 0.0008 0.5004 0.6534
Ag1 Ag 0.0000 0.0000 0.4001

=====

Which value of final energy does entry 2 give?
-2.8807 eV/atom